! NaTl2PO4 | the Alexandria database | PBE-GGA | optimized geometry; values from VASP
! Electronic total energy: -5.47 eV per atom
! Total magnetic moment: 0.000 μB/atom
&SYSTEM
  ibrav = 0, nat = 16, ntyp = 4
/
ATOMIC_SPECIES
Na 22.99 Na.upf
Tl 204.38 Tl.upf
P 30.97 P.upf
O 16.00 O.upf
CELL_PARAMETERS angstrom
5.5322 0.0000 0.0000
2.7661 5.3887 0.0000
2.7661 0.0000 10.9235
ATOMIC_POSITIONS crystal
Na 0.7500 0.5000 0.5000
Na 0.0000 0.0000 0.0000
Tl 0.1857 0.0000 0.6285
Tl 0.8143 0.0000 0.3715
Tl 0.5643 0.5000 0.8715
Tl 0.9357 0.5000 0.1285
P 0.2500 0.5000 0.5000
P 0.5000 0.0000 0.0000
O 0.3812 0.8262 0.0788
O 0.2862 0.1738 0.9212
O 0.7926 0.8262 0.9212
O 0.5401 0.1738 0.0788
O 0.3688 0.6738 0.4212
O 0.4638 0.3262 0.5788
O 0.9574 0.6738 0.5788
O 0.2099 0.3262 0.4212

***

! NbTeS4 | the Alexandria database | PBE-GGA | optimized geometry; values from VASP
! Electronic total energy: -5.42 eV per atom
! Total magnetic moment: 0.000 μB/atom
&SYSTEM
  ibrav = 0, nat = 12, ntyp = 3
/
ATOMIC_SPECIES
Nb 92.91 Nb.upf
Te 127.60 Te.upf
S 32.06 S.upf
CELL_PARAMETERS angstrom
6.0884 -0.3443 -1.8815
-2.2282 6.8751 -2.0671
-0.5436 0.3404 7.9828
ATOMIC_POSITIONS crystal
Nb 0.7782 0.0006 0.0002
Nb 0.2218 0.9994 0.9998
Te 0.2940 0.3296 0.4552
Te 0.7060 0.6704 0.5448
S 0.1469 0.3143 0.1187
S 0.1102 0.9611 0.2701
S 0.3413 0.8720 0.7319
S 0.6587 0.1280 0.2681
S 0.8531 0.6857 0.8813
S 0.4813 0.1683 0.8519
S 0.5186 0.8317 0.1482
S 0.8898 0.0389 0.7300

***

! Ta3Cu | the Alexandria database | PBE-GGA | optimized geometry; values from VASP
! DFT formation energy: 0.084 eV/atom
! Total magnetic moment: 0.000 μB/atom
&SYSTEM
  ibrav = 0, nat = 4, ntyp = 2
/
ATOMIC_SPECIES
Cu 63.55 Cu.upf
Ta 180.95 Ta.upf
CELL_PARAMETERS angstrom
-1.0655 -1.4912 2.7777
2.8530 0.7914 1.5192
-2.4460 5.2297 1.8692
ATOMIC_POSITIONS crystal
Cu 0.0000 0.0000 0.0000
Ta 0.5000 0.5000 0.2422
Ta 0.0000 0.0000 0.5000
Ta 0.5000 0.5000 0.7578

***

! Li2GeSeS2 | the Alexandria database | PBE-GGA | optimized geometry; values from VASP
! Electronic total energy: -4.23 eV per atom
! Total magnetic moment: 0.000 μB/atom
&SYSTEM
  ibrav = 0, nat = 12, ntyp = 4
/
ATOMIC_SPECIES
Li 6.94 Li.upf
Ge 72.64 Ge.upf
Se 78.96 Se.upf
S 32.06 S.upf
CELL_PARAMETERS angstrom
6.4179 0.0000 0.0000
0.0000 6.9589 0.0000
0.0000 -3.4795 5.9399
ATOMIC_POSITIONS crystal
Li 0.1742 0.8234 0.3502
Li 0.1742 0.4732 0.6498
Li 0.6742 0.1766 0.6498
Li 0.6742 0.5268 0.3502
Ge 0.7081 0.8249 0.0000
Ge 0.2081 0.1751 0.0000
Se 0.3216 0.8405 0.0000
Se 0.8216 0.1595 0.0000
S 0.7976 0.8402 0.3145
S 0.7976 0.5257 0.6855
S 0.2976 0.4743 0.3145
S 0.2976 0.1598 0.6855

***

! KNaTl2Sb2 | the Alexandria database | PBE-GGA | optimized geometry; values from VASP
! Electronic total energy: -2.81 eV per atom
! Total magnetic moment: 0.000 μB/atom
&SYSTEM
  ibrav = 0, nat = 6, ntyp = 4
/
ATOMIC_SPECIES
K 39.10 K.upf
Na 22.99 Na.upf
Tl 204.38 Tl.upf
Sb 121.76 Sb.upf
CELL_PARAMETERS angstrom
5.3272 0.0000 0.0000
-2.6636 4.6135 0.0000
0.0000 0.0000 8.1652
ATOMIC_POSITIONS crystal
K 0.0000 0.0000 0.0000
Na 0.0000 0.0000 0.5000
Tl 0.6667 0.3333 0.3501
Tl 0.3333 0.6667 0.6499
Sb 0.6667 0.3333 0.7352
Sb 0.3333 0.6667 0.2648

***

! BaPdI2O8 | the Alexandria database | PBE-GGA | optimized geometry; values from VASP
! Electronic total energy: -4.87 eV per atom
! Total magnetic moment: 0.000 μB/atom
&SYSTEM
  ibrav = 0, nat = 12, ntyp = 4
/
ATOMIC_SPECIES
Ba 137.33 Ba.upf
Pd 106.42 Pd.upf
I 126.90 I.upf
O 16.00 O.upf
CELL_PARAMETERS angstrom
5.5038 0.0000 0.0000
2.7519 4.7665 0.0000
2.7519 1.5888 7.0455
ATOMIC_POSITIONS crystal
Ba 0.5000 0.5000 0.5000
Pd 0.0000 0.0000 0.0000
I 0.2828 0.2828 0.1517
I 0.7172 0.7172 0.8483
O 0.1967 0.1967 0.4100
O 0.6573 0.2553 0.1691
O 0.8033 0.8033 0.5900
O 0.9182 0.6573 0.1691
O 0.0818 0.3427 0.8309
O 0.2553 0.9182 0.1691
O 0.7447 0.0818 0.8309
O 0.3427 0.7447 0.8309

***

! TlZn2Cu | the Alexandria database | PBE-GGA | optimized geometry; values from VASP
! DFT formation energy: 0.236 eV/atom
! Energy above the lowest structure with this stoichiometry: 108 meV/atom
! Total magnetic moment: 0.000 μB/atom
&SYSTEM
  ibrav = 0, nat = 4, ntyp = 3
/
ATOMIC_SPECIES
Cu 63.55 Cu.upf
Tl 204.38 Tl.upf
Zn 65.41 Zn.upf
CELL_PARAMETERS angstrom
-2.3135 -3.5175 1.8631
4.4814 -0.6023 0.8661
-0.3434 1.8477 3.0619
ATOMIC_POSITIONS crystal
Cu 0.5000 0.0000 0.5000
Tl 0.0000 0.5000 0.5000
Zn 0.0000 0.0000 0.0000
Zn 0.5000 0.5000 0.0000

***

! NaHg2Au | the Alexandria database | PBE-GGA | optimized geometry; values from VASP
! DFT formation energy: -0.102 eV/atom
! Total magnetic moment: 0.000 μB/atom
&SYSTEM
  ibrav = 0, nat = 4, ntyp = 3
/
ATOMIC_SPECIES
Na 22.99 Na.upf
Hg 200.59 Hg.upf
Au 196.97 Au.upf
CELL_PARAMETERS angstrom
5.5845 -2.6121 -3.1406
-2.4674 5.6499 3.1406
-3.5085 0.4820 5.9440
ATOMIC_POSITIONS crystal
Na 0.0000 0.0000 0.0000
Hg 0.0000 0.2750 0.2750
Hg 0.0000 0.7250 0.7250
Au 0.0000 0.5000 0.5000

***

! Ca2AgRu | the Alexandria database | PBE-GGA | optimized geometry; values from VASP
! DFT formation energy: 0.253 eV/atom
! Total magnetic moment: 0.140 μB/atom
&SYSTEM
  ibrav = 0, nat = 4, ntyp = 3
/
ATOMIC_SPECIES
Ru 101.07 Ru.upf
Ca 40.08 Ca.upf
Ag 107.87 Ag.upf
CELL_PARAMETERS angstrom
3.5899 -0.0101 0.0000
0.0107 3.5899 0.0000
0.0000 0.0000 7.8410
ATOMIC_POSITIONS crystal
Ru 0.0000 0.0000 0.5471
Ca 0.0000 0.0000 0.9214
Ca 0.5000 0.5000 0.3293
Ag 0.5000 0.5000 0.7022

***

! Li2MgRh | the Alexandria database | PBE-GGA | optimized geometry; values from VASP
! DFT formation energy: -0.239 eV/atom
! Total magnetic moment: 0.000 μB/atom
&SYSTEM
  ibrav = 0, nat = 4, ntyp = 3
/
ATOMIC_SPECIES
Mg 24.30 Mg.upf
Rh 102.91 Rh.upf
Li 6.94 Li.upf
CELL_PARAMETERS angstrom
4.3428 -0.6131 0.4447
2.6930 3.4617 0.4447
1.9435 0.7868 3.8669
ATOMIC_POSITIONS crystal
Mg 0.5001 0.5001 0.4999
Rh 0.2502 0.2502 0.2498
Li 0.0000 0.0000 0.0001
Li 0.7498 0.7498 0.7502

***

! ZrNbCr2 | the Alexandria database | PBE-GGA | optimized geometry; values from VASP
! DFT formation energy: 0.173 eV/atom
! Energy above the lowest structure with this stoichiometry: 0 meV/atom
! Total magnetic moment: 0.642 μB/atom
&SYSTEM
  ibrav = 0, nat = 4, ntyp = 3
/
ATOMIC_SPECIES
Cr 52.00 Cr.upf
Nb 92.91 Nb.upf
Zr 91.22 Zr.upf
CELL_PARAMETERS angstrom
2.9698 -1.6964 2.9361
-1.4236 -1.6553 3.9435
0.1327 -4.4411 0.7599
ATOMIC_POSITIONS crystal
Cr 0.2500 0.2500 0.2500
Cr 0.7500 0.7500 0.7500
Nb 0.5000 0.5000 0.5000
Zr 0.0000 0.0000 0.0000

***

! LaPr6Sc2 | the Alexandria database | PBE-GGA | optimized geometry; values from VASP
! DFT formation energy: 0.047 eV/atom
! Total magnetic moment: 0.000 μB/atom
&SYSTEM
  ibrav = 0, nat = 9, ntyp = 3
/
ATOMIC_SPECIES
La 138.91 La.upf
Pr 140.91 Pr.upf
Sc 44.96 Sc.upf
CELL_PARAMETERS angstrom
-2.2611 2.7529 0.9725
-6.9747 -4.7098 -2.8618
4.2671 1.9384 11.4448
ATOMIC_POSITIONS crystal
La 0.0000 0.0000 0.0000
Pr 0.9096 0.5461 0.1819
Pr 0.0904 0.4539 0.8181
Pr 0.6642 0.6544 0.6724
Pr 0.7736 0.1219 0.4526
Pr 0.2264 0.8781 0.5474
Pr 0.3358 0.3456 0.3276
Sc 0.4339 0.8249 0.1322
Sc 0.5661 0.1751 0.8678

***

The highest total magnetic moment belongs to which entry? ZrNbCr2

***

Among the records above, which one has the highest total magnetic moment? ZrNbCr2

***

What did the tenth record say?
! Li2MgRh | the Alexandria database | PBE-GGA | optimized geometry; values from VASP
! DFT formation energy: -0.239 eV/atom
! Total magnetic moment: 0.000 μB/atom
&SYSTEM
  ibrav = 0, nat = 4, ntyp = 3
/
ATOMIC_SPECIES
Mg 24.30 Mg.upf
Rh 102.91 Rh.upf
Li 6.94 Li.upf
CELL_PARAMETERS angstrom
4.3428 -0.6131 0.4447
2.6930 3.4617 0.4447
1.9435 0.7868 3.8669
ATOMIC_POSITIONS crystal
Mg 0.5001 0.5001 0.4999
Rh 0.2502 0.2502 0.2498
Li 0.0000 0.0000 0.0001
Li 0.7498 0.7498 0.7502